A relaxed structure of VPO7, computed with PBE+U.

a = 6.7842 Å, b = 8.5597 Å, c = 10.9548 Å
α = 86.44°, β = 90.00°, γ = 90.00°
Closest atoms and distances in Å follow each position.
Positions (direct):
V (0.6103, 0.4459, 0.7269)  1 O 1.60
V (0.1103, 0.5541, 0.7731)  1 O 1.60
V (0.3897, 0.5541, 0.2731)  1 O 1.60
V (0.8897, 0.4459, 0.2269)  1 O 1.60
P (0.6403, 0.6598, 0.0244)  3 O 1.46-1.52
P (0.1403, 0.3402, 0.4756)  3 O 1.46-1.52
P (0.3597, 0.3402, 0.9756)  3 O 1.46-1.52
P (0.8597, 0.6598, 0.5244)  3 O 1.46-1.52
O (0.6348, 0.7370, 0.9013)  1 P 1.46
O (0.1348, 0.2630, 0.5987)  1 P 1.46
O (0.3652, 0.2630, 0.0987)  1 P 1.46
O (0.8652, 0.7370, 0.4013)  1 P 1.46
O (0.8280, 0.5957, 0.0817)  1 P 1.51
O (0.3280, 0.4043, 0.4183)  1 P 1.51
O (0.1720, 0.4043, 0.9183)  1 P 1.51
O (0.6720, 0.5957, 0.5817)  1 P 1.51
O (0.4507, 0.6290, 0.0955)  1 P 1.52
O (0.9507, 0.3710, 0.4045)  1 P 1.52
O (0.5493, 0.3710, 0.9045)  1 P 1.52
O (0.0493, 0.6290, 0.5955)  1 P 1.52
O (0.6902, 0.9443, 0.1107)  1 O 1.23
O (0.1902, 0.0557, 0.3893)  1 O 1.23
O (0.3098, 0.0557, 0.8893)  1 O 1.23
O (0.8098, 0.9443, 0.6107)  1 O 1.23
O (0.6032, 0.2826, 0.6630)  1 V 1.60
O (0.1032, 0.7174, 0.8370)  1 V 1.60
O (0.3968, 0.7174, 0.3370)  1 V 1.60
O (0.8968, 0.2826, 0.1630)  1 V 1.60
O (0.6376, 0.4734, 0.2768)  2 V 1.82
O (0.1376, 0.5266, 0.2232)  2 V 1.82
O (0.3624, 0.5266, 0.7232)  2 V 1.82
O (0.8624, 0.4734, 0.7768)  2 V 1.82
O (0.8434, 0.9817, 0.7154)  1 O 1.23
O (0.3434, 0.0183, 0.7846)  1 O 1.23
O (0.1566, 0.0183, 0.2846)  1 O 1.23
O (0.6566, 0.9817, 0.2154)  1 O 1.23

Output
**E_tot**: -0.486 Ry per atom
**Space-group type**: P2_1/c (14)